1.
A relaxed SrTaSi4 crystal. Source: Alexandria, functional PBE-GGA.

a = 5.251 Å, b = 5.251 Å, c = 5.251 Å
α = 60.00°, β = 60.00°, γ = 60.00°
Fractional coordinates of all 6 atoms:
Si1 0.370 0.370 0.370
Si2 0.370 0.370 0.889
Si3 0.889 0.370 0.370
Si4 0.370 0.889 0.370
Sr1 0.750 0.750 0.750
Ta1 0.000 0.000 0.000

Output
The size of the total moment comes out at 0.0 μB per formula unit. Its formation energy from raw total energies is 0.3183 eV/atom. As for the crystal system: cubic. As for the space group: F-43m, No. 216.

=====

2.
A relaxed SrTa2Si crystal. Source: Alexandria, functional PBE-GGA.

a = 4.477 Å, b = 3.543 Å, c = 6.161 Å
α = 77.70°, β = 90.00°, γ = 90.00°
Fractional coordinates of all 4 atoms:
Ta1 0.000 0.070 0.089
Ta2 0.000 0.430 0.411
Si1 0.500 0.250 0.250
Sr1 0.500 0.750 0.750

Output
The size of the total moment comes out at 0.0 μB per formula unit. Its formation energy from raw total energies is 0.4885 eV/atom. As for the crystal system: monoclinic. As for the space group: P2/m, No. 10.

=====

> Which of these has the lowest formation energy from raw total energies?

SrTaSi4

=====

Repeat the first record exactly.
A relaxed SrTaSi4 crystal. Source: Alexandria, functional PBE-GGA.

a = 5.251 Å, b = 5.251 Å, c = 5.251 Å
α = 60.00°, β = 60.00°, γ = 60.00°
Fractional coordinates of all 6 atoms:
Si1 0.370 0.370 0.370
Si2 0.370 0.370 0.889
Si3 0.889 0.370 0.370
Si4 0.370 0.889 0.370
Sr1 0.750 0.750 0.750
Ta1 0.000 0.000 0.000

Output
The size of the total moment comes out at 0.0 μB per formula unit. Its formation energy from raw total energies is 0.3183 eV/atom. As for the crystal system: cubic. As for the space group: F-43m, No. 216.